# 1
# GGA-PBE TlGa, optimized geometry
# Energy relative to the elements   1.568 kcal/mol of atoms
# Crystal system   tetragonal
data_TlGa
_chemical_formula_sum 'Tl8 Ga8'
_symmetry_space_group_name_H-M 'P 4/m'
_symmetry_Int_Tables_number 83
_symmetry_space_group_name_Hall '-P 4'
_cell_length_a 10.598
_cell_length_b 10.598
_cell_length_c 3.726
_cell_angle_alpha 90.00
_cell_angle_beta 90.00
_cell_angle_gamma 90.00
loop_
_atom_site_label
_atom_site_type_symbol
_atom_site_fract_x
_atom_site_fract_y
_atom_site_fract_z
_atom_site_occupancy
Tl1 Tl 0.142 0.834 0.000 1
Tl2 Tl 0.336 0.356 0.500 1
Ga1 Ga 0.026 0.360 0.500 1
Ga2 Ga 0.140 0.525 0.000 1

=====

# 2
# GGA-PBE Ti11Ga9Co4, optimized geometry
# Energy relative to the elements   -11.381 kcal/mol of atoms
# Crystal system   orthorhombic
data_Ti11Ga9Co4
_chemical_formula_sum 'Ti22 Ga18 Co8'
_symmetry_space_group_name_H-M 'C m m m'
_symmetry_Int_Tables_number 65
_symmetry_space_group_name_Hall '-C 2 2'
_cell_length_a 12.601
_cell_length_b 18.911
_cell_length_c 3.011
_cell_angle_alpha 90.00
_cell_angle_beta 90.00
_cell_angle_gamma 90.00
loop_
_atom_site_label
_atom_site_type_symbol
_atom_site_fract_x
_atom_site_fract_y
_atom_site_fract_z
_atom_site_occupancy
Ti1 Ti 0.000 0.000 0.000 1
Ti2 Ti 0.000 0.156 0.000 1
Ti3 Ti 0.000 0.376 0.000 1
Ti4 Ti 0.186 0.500 0.000 1
Ti5 Ti 0.238 0.174 0.000 1
Ga1 Ga 0.000 0.500 0.500 1
Ga2 Ga 0.104 0.263 0.500 1
Ga3 Ga 0.146 0.072 0.500 1
Co1 Co 0.155 0.397 0.500 1

=====

# 3
# GGA-PBE ErAl5Au7, optimized geometry
# Energy relative to the elements   -11.037 kcal/mol of atoms
# Crystal system   orthorhombic
data_ErAl5Au7
_chemical_formula_sum 'Er2 Al10 Au14'
_symmetry_space_group_name_H-M 'I m m 2'
_symmetry_Int_Tables_number 44
_symmetry_space_group_name_Hall 'I 2 -2'
_cell_length_a 5.548
_cell_length_b 9.292
_cell_length_c 9.017
_cell_angle_alpha 90.00
_cell_angle_beta 90.00
_cell_angle_gamma 90.00
loop_
_atom_site_label
_atom_site_type_symbol
_atom_site_fract_x
_atom_site_fract_y
_atom_site_fract_z
_atom_site_occupancy
Er1 Er 0.000 0.000 0.000 1
Al1 Al 0.000 0.500 0.253 1
Al2 Al 0.245 0.257 0.742 1
Au1 Au 0.000 0.000 0.326 1
Au2 Au 0.000 0.000 0.684 1
Au3 Au 0.000 0.311 0.477 1
Au4 Au 0.000 0.331 0.008 1
Au5 Au 0.000 0.500 0.728 1

=====

# 4
# GGA-PBE PrEr3Mn, optimized geometry
# Energy relative to the elements   4.626 kcal/mol of atoms
# Crystal system   cubic
data_PrEr3Mn
_chemical_formula_sum 'Pr1 Er3 Mn1'
_symmetry_space_group_name_H-M 'P m -3 m'
_symmetry_Int_Tables_number 221
_symmetry_space_group_name_Hall '-P 4 2 3'
_cell_length_a 5.300
_cell_length_b 5.300
_cell_length_c 5.300
_cell_angle_alpha 90.00
_cell_angle_beta 90.00
_cell_angle_gamma 90.00
loop_
_atom_site_label
_atom_site_type_symbol
_atom_site_fract_x
_atom_site_fract_y
_atom_site_fract_z
_atom_site_occupancy
Pr1 Pr 0.000 0.000 0.000 1
Er1 Er 0.000 0.500 0.500 1
Mn1 Mn 0.500 0.500 0.500 1

=====

# 5
# GGA-PBE PPtCl2, optimized geometry
# Crystal system   tetragonal
# E_form (uncorrected)   0.95 eV/atom
# Distance to the lowest polymorph of the same formula   6.12 eV per formula unit
data_PPtCl2
_chemical_formula_sum 'P1 Pt1 Cl2'
_symmetry_space_group_name_H-M 'P 4/m m m'
_symmetry_Int_Tables_number 123
_symmetry_space_group_name_Hall '-P 4 2'
_cell_length_a 4.795
_cell_length_b 4.795
_cell_length_c 3.059
_cell_angle_alpha 90.00
_cell_angle_beta 90.00
_cell_angle_gamma 90.00
loop_
_atom_site_label
_atom_site_type_symbol
_atom_site_fract_x
_atom_site_fract_y
_atom_site_fract_z
_atom_site_occupancy
P1 P 0.000 0.000 0.000 1
Pt1 Pt 0.500 0.500 0.000 1
Cl1 Cl 0.000 0.500 0.500 1

=====

# 6
# GGA-PBE NpU2NiS5, optimized geometry
# Crystal system   orthorhombic
# E_form (uncorrected)   -1.24 eV/atom
data_NpU2NiS5
_chemical_formula_sum 'Np4 U8 Ni4 S20'
_symmetry_space_group_name_H-M 'C m c 21'
_symmetry_Int_Tables_number 36
_symmetry_space_group_name_Hall 'C 2c -2'
_cell_length_a 3.681
_cell_length_b 16.079
_cell_length_c 11.705
_cell_angle_alpha 90.00
_cell_angle_beta 90.00
_cell_angle_gamma 90.00
loop_
_atom_site_label
_atom_site_type_symbol
_atom_site_fract_x
_atom_site_fract_y
_atom_site_fract_z
_atom_site_occupancy
Np1 Np 0.000 0.178 0.000 1
U1 U 0.000 0.114 0.325 1
U2 U 0.000 0.115 0.670 1
Ni1 Ni 0.000 0.452 0.386 1
S1 S 0.000 0.011 0.983 1
S2 S 0.000 0.301 0.669 1
S3 S 0.000 0.320 0.330 1
S4 S 0.000 0.346 0.997 1
S5 S 0.000 0.490 0.718 1

=====

# 7
# GGA-PBE KNa2B, optimized geometry
# Energy relative to the elements   22.723 kcal/mol of atoms
# Crystal system   tetragonal
data_KNa2B
_chemical_formula_sum 'K4 Na8 B4'
_symmetry_space_group_name_H-M 'I -4 2 d'
_symmetry_Int_Tables_number 122
_symmetry_space_group_name_Hall 'I -4 2bw'
_cell_length_a 6.299
_cell_length_b 6.299
_cell_length_c 16.306
_cell_angle_alpha 90.00
_cell_angle_beta 90.00
_cell_angle_gamma 90.00
loop_
_atom_site_label
_atom_site_type_symbol
_atom_site_fract_x
_atom_site_fract_y
_atom_site_fract_z
_atom_site_occupancy
K1 K 0.000 0.000 0.000 1
Na1 Na 0.001 0.250 0.625 1
B1 B 0.000 0.000 0.500 1

=====

# 8
# GGA-PBE Pr2Sm3Hg3, optimized geometry
# Energy relative to the elements   -7.965 kcal/mol of atoms
# Crystal system   orthorhombic
data_Pr2Sm3Hg3
_chemical_formula_sum 'Pr4 Sm6 Hg6'
_symmetry_space_group_name_H-M 'I m m m'
_symmetry_Int_Tables_number 71
_symmetry_space_group_name_Hall '-I 2 2'
_cell_length_a 3.838
_cell_length_b 5.448
_cell_length_c 22.663
_cell_angle_alpha 90.00
_cell_angle_beta 90.00
_cell_angle_gamma 90.00
loop_
_atom_site_label
_atom_site_type_symbol
_atom_site_fract_x
_atom_site_fract_y
_atom_site_fract_z
_atom_site_occupancy
Pr1 Pr 0.000 0.000 0.231 1
Sm1 Sm 0.000 0.000 0.000 1
Sm2 Sm 0.000 0.500 0.119 1
Hg1 Hg 0.000 0.000 0.500 1
Hg2 Hg 0.000 0.500 0.385 1

=====

Question: Which formula does entry 4 have?
Answer: PrEr3Mn